The following is a DFT calculation (GGA-PBE) of an optimized crystal structure of VH.

## Properties
As for the calculated total energy: -25.17 eV/cell. Its symmetry is No. 186.

Lattice parameters (Å, degrees): 2.761 2.761 5.074 90.00 90.00 120.00
Fractional positions:
V (0.333, 0.667, 0.714)
V (0.667, 0.333, 0.214)
H (0.333, 0.667, 0.368)
H (0.667, 0.333, 0.868)

The following is a DFT calculation (GGA-PBE) of an optimized crystal structure of VH3.

## Properties
As for the calculated total energy: -18.95 eV/cell. Its symmetry is No. 221.

Lattice parameters (Å, degrees): 2.763 2.765 2.766 90.00 90.00 90.00
Each line ends with the local moment (μB).
Fractional positions:
H (0.000, 0.500, 0.417)  -0.01
H (0.500, 0.000, 0.417)  -0.01
H (0.500, 0.500, 0.917)  -0.01
V (0.000, 0.000, 0.917)  0.57

The following is a DFT calculation (GGA-PBE) of an optimized crystal structure of VH.

## Properties
As for the calculated total energy: -102.71 eV/cell. Its symmetry is No. 19.

Lattice parameters (Å, degrees): 4.426 4.423 6.454 90.00 90.00 90.00
Fractional positions:
V (0.255, 0.491, 0.497)
V (0.755, 0.009, 0.503)
V (0.745, 0.991, 0.003)
V (0.245, 0.509, 0.997)
V (0.743, 0.511, 0.254)
V (0.243, 0.989, 0.746)
V (0.257, 0.011, 0.246)
V (0.757, 0.489, 0.754)
H (0.866, 0.616, 0.506)
H (0.366, 0.884, 0.494)
H (0.134, 0.116, 0.994)
H (0.634, 0.384, 0.006)
H (0.862, 0.121, 0.252)
H (0.362, 0.379, 0.748)
H (0.138, 0.621, 0.248)
H (0.638, 0.879, 0.752)